No. 1
Computed, not measured: an optimized crystal structure of Ni4TeSe at the PBE-GGA level of DFT.

Geometry as extended XYZ:
```
6
Lattice="3.4737 -3.1659 -1.6050 -0.9897 -4.8611 -0.2374 -0.5104 -2.2176 -4.4145" Properties=species:S:1:pos:R:3 pbc="T T T"
Ni 2.4782 -5.4249 -3.1488
Ni 0.4845 -4.9504 -4.5547
Ni 0.2447 -6.2732 -2.4644
Ni 0.7399 -3.8407 -2.3457
Te 0.0000 0.0000 0.0000
Se 1.4802 -7.6834 -4.6926
```

Properties
The space group is F-43m. For the total magnetization, the calculation gives 1.94 Bohr magnetons per cell. For the formation energy from raw total energies, the calculation gives 0.319 eV/atom. As for the volume: 86.6 Å³/cell.

No. 2
Computed, not measured: an optimized crystal structure of MgGa2Co3 at the PBE-GGA level of DFT.

Geometry as extended XYZ:
```
6
Lattice="-2.5571 0.8507 -1.1283 0.3097 -1.9387 -2.1635 -4.1437 -6.0507 4.8290" Properties=species:S:1:pos:R:3 pbc="T T T"
Mg -3.1955 -3.5694 0.7686
Ga -4.5838 -5.5966 2.3865
Ga -1.8072 -1.5422 -0.8493
Co 0.0000 0.0000 0.0000
Co -2.8433 -4.1518 3.3136
Co -1.3004 -1.8988 1.5154
```

Properties
For the total DFT energy (no corrections), the calculation gives -30.07 eV per cell. The space group is P4/mmm. For the total magnetization, the calculation gives 0.00 Bohr magnetons per cell. As for the volume: 74.9 Å³/cell.

No. 3
Computed, not measured: an optimized crystal structure of AlInRh2 at the PBE-GGA level of DFT.

Geometry as extended XYZ:
```
4
Lattice="2.9657 0.0000 0.0000 0.0000 3.9058 0.0000 0.0000 0.0000 5.5818" Properties=species:S:1:pos:R:3 pbc="T T T"
Rh 0.0000 0.0000 5.4971
Rh 1.4829 1.9529 1.6391
Al 0.0000 0.0000 2.4562
In 1.4829 1.9529 4.3622
```

Properties
For the total DFT energy (no corrections), the calculation gives -22.85 eV per cell. The space group is Pmm2. For the total magnetization, the calculation gives 0.00 Bohr magnetons per cell. As for the volume: 64.7 Å³/cell.

No. 4
Computed, not measured: an optimized crystal structure of KCa4Ta at the PBE-GGA level of DFT.

Geometry as extended XYZ:
```
6
Lattice="6.3467 -2.5884 -0.8860 4.0640 -1.1357 5.4736 1.4002 -6.4716 1.9809" Properties=species:S:1:pos:R:3 pbc="T T T"
K 8.8582 -7.6468 4.9263
Ca 7.6185 -5.1178 2.0082
Ca 5.1219 -7.0778 3.4552
Ca 6.4664 -4.3846 5.2181
Ca 4.4151 -3.8113 2.4554
Ta 0.0000 0.0000 0.0000
```

Properties
For the total DFT energy (no corrections), the calculation gives -15.33 eV per cell. The space group is F-43m. For the total magnetization, the calculation gives 4.27 Bohr magnetons per cell. As for the volume: 233.4 Å³/cell.

No. 5
Computed, not measured: an optimized crystal structure of AlRu at the PBE-GGA level of DFT.

Geometry as extended XYZ:
```
4
Lattice="-3.0036 0.0864 -2.9624 -0.8494 -1.5777 3.8203 -1.3724 4.4206 1.5204" Properties=species:S:1:pos:R:3 pbc="T T T"
Ru -2.1651 0.9021 2.2215
Ru -3.5694 3.6671 0.7208
Al -2.8514 3.1125 2.9818
Al -2.8832 1.4569 -0.0394
```

Properties
For the total DFT energy (no corrections), the calculation gives -24.64 eV per cell. The space group is P6_3/mmc. For the total magnetization, the calculation gives 1.31 Bohr magnetons per cell. As for the volume: 75.1 Å³/cell.

No. 6
Computed, not measured: an optimized crystal structure of SrAg2Se at the PBE-GGA level of DFT.

Geometry as extended XYZ:
```
4
Lattice="6.5953 0.0149 -0.0480 5.2721 3.9628 -0.0480 -0.6359 -0.2132 4.1797" Properties=species:S:1:pos:R:3 pbc="T T T"
Ag 11.4878 3.8506 -0.0625
Ag 5.9953 2.0095 2.0085
Se 8.4236 2.8235 3.0629
Sr 2.8079 0.9412 1.0210
```

Properties
The space group is C2/m. For the total magnetization, the calculation gives 0.00 Bohr magnetons per cell. For the formation energy from raw total energies, the calculation gives -0.608 eV/atom. As for the volume: 108.8 Å³/cell.

No. 7
Computed, not measured: an optimized crystal structure of TaBeAs2 at the PBE-GGA level of DFT.

Geometry as extended XYZ:
```
4
Lattice="-1.8454 4.0152 2.9290 -3.2805 4.1571 -0.2517 -2.7122 -2.0706 1.1313" Properties=species:S:1:pos:R:3 pbc="T T T"
Be -4.1924 2.6886 2.0115
As -0.3548 -0.2323 0.1497
As -5.3296 4.4990 2.6053
Ta -1.8802 2.1975 0.9463
```

Properties
For the total DFT energy (no corrections), the calculation gives -25.95 eV per cell. The space group is Amm2. For the total magnetization, the calculation gives 0.00 Bohr magnetons per cell. As for the volume: 62.8 Å³/cell.

No. 8
Computed, not measured: an optimized crystal structure of Ba4AsI4 at the PBE-GGA level of DFT.

Geometry as extended XYZ:
```
9
Lattice="-3.2489 -3.1182 1.9686 -3.2381 -4.6223 -6.5309 5.5848 -9.4789 0.3377" Properties=species:S:1:pos:R:3 pbc="T T T"
Ba 0.2185 -4.0569 0.0696
Ba -1.1208 -13.1625 -4.2942
Ba 1.2596 -12.6719 0.4115
Ba -2.1619 -4.5475 -4.6362
As -1.6245 -1.5591 0.9843
I -2.4785 -5.9542 -1.2521
I -3.2495 -10.3719 -3.3872
I 1.5763 -11.2652 -2.9726
I 2.3472 -6.8475 -0.8375
```

Properties
The space group is C2/m. For the total magnetization, the calculation gives 0.00 Bohr magnetons per cell. For the formation energy from raw total energies, the calculation gives -1.557 eV/atom. As for the volume: 427.8 Å³/cell.

No. 9
Computed, not measured: an optimized crystal structure of ThReRu at the PBE-GGA level of DFT.

Geometry as extended XYZ:
```
6
Lattice="-2.5316 3.9074 -2.0643 -0.6848 -1.7686 -2.5078 -6.8262 -3.2635 2.1945" Properties=species:S:1:pos:R:3 pbc="T T T"
Th -6.9682 -0.4470 -1.7241
Th -3.0744 -0.6777 -0.6536
Re -1.2658 1.9537 -1.0322
Re 0.0000 0.0000 0.0000
Ru -4.5088 0.4555 -3.0321
Ru -5.5338 -1.5801 0.6544
```

Properties
For the total DFT energy (no corrections), the calculation gives -56.10 eV per cell. The space group is Cmcm. For the total magnetization, the calculation gives 0.00 Bohr magnetons per cell. As for the volume: 123.6 Å³/cell.

No. 10
Computed, not measured: an optimized crystal structure of MnCoSb at the PBE-GGA level of DFT.

Geometry as extended XYZ:
```
6
Lattice="-3.3014 -1.4139 0.3101 0.0938 -4.5168 1.3705 -0.7499 2.9624 5.4802" Properties=species:S:1:pos:R:3 pbc="T T T"
Sb -1.4372 -1.1619 4.1453
Sb -3.9707 0.5742 6.0249
Mn -1.9928 -0.3912 1.7661
Mn -0.8676 -2.9397 2.1337
Co -2.9712 -1.7421 6.1200
Co -0.5211 1.1001 3.2661
```

Properties
The space group is Cm. For the total magnetization, the calculation gives 0.86 Bohr magnetons per cell. For the formation energy from raw total energies, the calculation gives 0.138 eV/atom. As for the volume: 96.3 Å³/cell.

No. 11
Computed, not measured: an optimized crystal structure of PaCuRhO6 at the PBE-GGA level of DFT.

Geometry as extended XYZ:
```
18
Lattice="5.3409 0.0000 0.0000 -2.6705 4.6254 0.0000 0.0000 0.0000 8.7818" Properties=species:S:1:pos:R:3 pbc="T T T"
Pa 0.0000 3.0836 2.1954
Pa 2.6705 1.5418 6.5863
Cu 0.0000 0.0000 0.0000
Cu 0.0000 0.0000 4.3909
Rh 2.6705 1.5418 2.1954
Rh 0.0000 3.0836 6.5863
O 1.8591 3.0193 1.0992
O 4.3557 1.5057 1.0992
O -0.8738 4.5250 5.4901
O -1.6852 3.1196 7.6826
O 0.9853 1.5057 3.2917
O 3.4818 3.0193 3.2917
O 0.8738 4.5250 7.6826
O 3.5443 0.1004 3.2917
O -0.8114 1.6061 5.4901
O 1.7966 0.1004 1.0992
O 1.6852 3.1196 5.4901
O 0.8114 1.6061 7.6826
```

Properties
The space group is P-31c. For the total magnetization, the calculation gives 0.00 Bohr magnetons per cell. For the formation energy from raw total energies, the calculation gives -1.601 eV/atom. As for the volume: 216.9 Å³/cell.

No. 12
Computed, not measured: an optimized crystal structure of TlTc3 at the PBE-GGA level of DFT.

Geometry as extended XYZ:
```
4
Lattice="4.8869 0.0062 0.0000 -1.7830 4.5500 0.0000 0.0000 0.0000 2.9320" Properties=species:S:1:pos:R:3 pbc="T T T"
Tc -0.8915 2.2750 1.4660
Tc 2.4434 0.0031 1.4660
Tc 1.5519 2.2781 0.0000
Tl 0.0000 0.0000 0.0000
```

Properties
The space group is Cmmm. The excess energy over the best structure of this formula in the dataset is 1.12 eV/f.u. For the total magnetization, the calculation gives 0.02 Bohr magnetons per cell. As for the volume: 65.2 Å³/cell.

No. 13
Computed, not measured: an optimized crystal structure of PdWSe3 at the PBE-GGA level of DFT.

Geometry as extended XYZ:
```
5
Lattice="4.9168 0.0000 0.0000 0.0000 4.9168 0.0000 0.0000 0.0000 4.9168" Properties=species:S:1:pos:R:3 pbc="T T T"
Se 0.0000 2.4584 0.0000
Se 0.0000 0.0000 2.4584
Se 2.4584 0.0000 0.0000
Pd 2.4584 2.4584 2.4584
W 0.0000 0.0000 0.0000
```

Properties
The space group is Pm-3m. The excess energy over the best structure of this formula in the dataset is 0.00 eV/f.u. For the total magnetization, the calculation gives 0.00 Bohr magnetons per cell. For the formation energy from raw total energies, the calculation gives 0.527 eV/atom. As for the volume: 118.9 Å³/cell.

No. 14
Computed, not measured: an optimized crystal structure of Ga6GeBr12 at the PBE-GGA level of DFT.

Geometry as extended XYZ:
```
19
Lattice="-5.7036 0.2710 -8.0561 6.0686 -7.7711 -0.5369 -5.6940 -0.8324 8.0244" Properties=species:S:1:pos:R:3 pbc="T T T"
Ga -5.9059 -1.1977 -5.9180
Ga -0.3811 -5.6875 -6.8820
Ga -8.8831 -0.7610 0.6056
Ga 0.5768 -7.1348 5.3494
Ga -4.9480 -2.6450 6.3133
Ga 3.5540 -7.5715 -1.1742
Ge 0.0000 0.0000 0.0000
Br -5.4476 -4.3247 1.5296
Br -1.1753 -6.9957 0.6306
Br -3.8335 -5.0291 -3.2759
Br 0.1185 -4.0078 -2.0982
Br -4.1538 -1.3368 -1.1992
Br -1.4956 -3.3034 2.7073
Br -5.1444 -1.2576 4.2050
Br -1.8846 -6.6549 5.0036
Br -8.1353 -2.2258 -1.3188
Br -0.1847 -7.0749 -4.7737
Br -3.4445 -1.6775 -5.5722
Br 2.8062 -6.1067 0.7502
```

Properties
The space group is R-3. For the total magnetization, the calculation gives 0.00 Bohr magnetons per cell. For the formation energy from raw total energies, the calculation gives -0.604 eV/atom. As for the volume: 743.0 Å³/cell.

No. 15
Computed, not measured: an optimized crystal structure of Sr2Zn2Au at the PBE-GGA level of DFT.

Geometry as extended XYZ:
```
5
Lattice="4.2246 0.0000 0.0000 0.0000 4.2112 -1.3666 0.0000 0.1618 7.6703" Properties=species:S:1:pos:R:3 pbc="T T T"
Sr 0.0000 2.9374 1.8797
Sr 0.0000 4.0781 5.3950
Zn 2.1123 1.3985 4.3093
Zn 2.1123 2.1193 -0.6410
Au 2.1123 0.5092 1.5691
```

Properties
The space group is Amm2. The excess energy over the best structure of this formula in the dataset is 0.18 eV/f.u. For the total magnetization, the calculation gives 0.00 Bohr magnetons per cell. As for the volume: 137.4 Å³/cell.

No. 16
Computed, not measured: an optimized crystal structure of BeAgHg at the PBE-GGA level of DFT.

Geometry as extended XYZ:
```
3
Lattice="4.3683 0.0000 0.0000 -2.1841 3.7831 0.0000 0.0000 0.0000 3.0232" Properties=species:S:1:pos:R:3 pbc="T T T"
Be 2.1842 1.2610 1.4845
Hg 0.0000 2.5220 1.5248
Ag 0.0000 0.0000 0.0138
```

Properties
The space group is P3m1. The excess energy over the best structure of this formula in the dataset is 0.28 eV/f.u. For the total magnetization, the calculation gives 0.00 Bohr magnetons per cell. As for the volume: 50.0 Å³/cell.

No. 17
Computed, not measured: an optimized crystal structure of V4Ge2As at the PBE-GGA level of DFT.

Geometry as extended XYZ:
```
7
Lattice="-3.1815 -2.3859 1.9313 2.9926 -1.7920 2.7161 -1.1100 2.7613 6.6427" Properties=species:S:1:pos:R:3 pbc="T T T"
As 0.0000 0.0000 0.0000
Ge -0.3500 -0.8684 3.4105
Ge -0.9489 -0.5482 7.8795
V -0.7380 0.9849 5.0608
V -0.5608 -2.4015 6.2292
V 1.4963 -0.8960 1.3580
V -1.5908 -1.1929 0.9656
```

Properties
The space group is I4/mmm. The excess energy over the best structure of this formula in the dataset is 5.25 eV/f.u. For the total magnetization, the calculation gives 4.16 Bohr magnetons per cell. As for the volume: 128.5 Å³/cell.

No. 18
Computed, not measured: an optimized crystal structure of Sc2Co3 at the PBE-GGA level of DFT.

Geometry as extended XYZ:
```
5
Lattice="2.6718 0.8580 -3.2054 -4.0922 1.1531 -0.2713 1.1267 4.5031 2.1446" Properties=species:S:1:pos:R:3 pbc="T T T"
Sc 0.6658 1.9503 -1.7540
Sc -0.9595 4.5640 0.4220
Co 0.0000 0.0000 0.0000
Co 1.2225 4.1750 -0.6944
Co -1.5161 2.3392 -0.6376
```

Properties
For the total DFT energy (no corrections), the calculation gives -32.55 eV per cell. The space group is P-3m1. For the total magnetization, the calculation gives 1.23 Bohr magnetons per cell. As for the volume: 80.4 Å³/cell.

No. 19
Computed, not measured: an optimized crystal structure of Ti7Tl2Sn2 at the PBE-GGA level of DFT.

Geometry as extended XYZ:
```
11
Lattice="-1.3812 -2.7632 5.0027 0.4152 -6.1282 -1.5795 5.3660 0.3453 3.3630" Properties=species:S:1:pos:R:3 pbc="T T T"
Ti 2.1797 -2.1367 5.3212
Ti 4.7554 -3.0946 3.9958
Ti 2.2203 -6.4094 1.4650
Ti -0.3553 -5.4515 2.7904
Ti -0.6906 -1.3816 2.5013
Ti 4.0195 -4.1106 1.3577
Ti 0.3805 -4.4355 5.4284
Tl 1.4816 -3.2224 2.7366
Tl 2.9184 -5.3237 4.0496
Sn 4.5416 -0.7326 2.5400
Sn 1.2396 -5.0503 -0.7565
```

Properties
For the total DFT energy (no corrections), the calculation gives -66.73 eV per cell. The space group is C2/m. For the total magnetization, the calculation gives 3.97 Bohr magnetons per cell. As for the volume: 220.2 Å³/cell.

No. 20
Computed, not measured: an optimized crystal structure of Tb5YTh2 at the PBE-GGA level of DFT.

Geometry as extended XYZ:
```
16
Lattice="7.4684 -0.7018 5.8520 -1.3644 7.3761 5.8520 1.7501 1.9137 12.9909" Properties=species:S:1:pos:R:3 pbc="T T T"
Tb 4.2669 4.8618 15.5951
Tb 3.5872 3.7263 9.0997
Tb 3.6550 8.4322 18.3273
Tb -0.8731 7.3442 7.3988
Tb 7.1979 3.4349 11.8319
Tb -0.4138 7.8464 10.8005
Tb 8.2678 0.7417 13.8943
Tb 8.7271 1.2439 17.2959
Tb 0.6561 5.1531 12.8629
Tb 4.1991 0.1558 6.3675
Y 6.0702 1.4554 9.0997
Y 1.7838 7.1326 15.5951
Th 3.7342 -0.3509 2.9260
Th 3.0520 3.3372 5.8520
Th 3.9270 4.2940 12.3474
Th 0.1928 4.6449 9.4214
```

Properties
The space group is Imma. The excess energy over the best structure of this formula in the dataset is 1.14 eV/f.u. For the total magnetization, the calculation gives 0.00 Bohr magnetons per cell. As for the volume: 521.5 Å³/cell.